CrGaTc | GGA-PBEsol | relaxed

The value obtained for the density of states at the Fermi level is 1.40 states/eV/f.u. For the energy relative to the elements, the calculation gives -162 meV/atom. As for the crystal system: tetragonal. For the total magnetic moment, the calculation gives 0.000 μB/atom.

It has space group I4mm (No. 107), with a = 2.9804 Å, b = 2.9804 Å, c = 8.7393 Å, α = 90.00°, β = 90.00° and γ = 90.00°. The asymmetric unit holds Cr at (0.0000, 0.0000, 0.0000), Ga at (0.0000, 0.0000, 0.6694) and Tc at (0.0000, 0.0000, 0.3519).

CrGaTc3 | GGA-PBEsol | relaxed

The value obtained for the density of states at the Fermi level is 6.46 states/eV/f.u. For the energy relative to the elements, the calculation gives 1233 meV/atom. As for the crystal system: cubic. For the total magnetic moment, the calculation gives 0.027 μB/atom.

It has space group Pm-3m (No. 221), with a = 4.3478 Å, b = 4.3478 Å, c = 4.3478 Å, α = 90.00°, β = 90.00° and γ = 90.00°. The asymmetric unit holds Cr at (0.0000, 0.0000, 0.0000), Ga at (0.5000, 0.5000, 0.5000) and Tc at (0.0000, 0.0000, 0.5000).

TlCrGa3 | GGA-PBEsol | relaxed

The value obtained for the density of states at the Fermi level is 2.69 states/eV/f.u. For the energy relative to the elements, the calculation gives 1159 meV/atom. As for the crystal system: cubic. For the total magnetic moment, the calculation gives 0.954 μB/atom.

It has space group Pm-3m (No. 221), with a = 5.2290 Å, b = 5.2290 Å, c = 5.2290 Å, α = 90.00°, β = 90.00° and γ = 90.00°. The asymmetric unit holds Tl at (0.0000, 0.0000, 0.0000), Cr at (0.5000, 0.5000, 0.5000) and Ga at (0.0000, 0.0000, 0.5000).